Record 1
Here is CsAgHgH2 after structural relaxation from Alexandria via LeMat-Bulk. Energies are from PBE-GGA.

Cell lengths 4.708, 5.411, 4.708 Å; angles 90.00, 90.00, 90.00 degrees
Element x y z (fractional)
Cs1 0.500 0.500 0.500
H1 0.500 0.000 0.000
H2 0.000 0.000 0.500
Hg1 0.000 0.500 0.000
Ag1 0.000 0.000 0.000

For the energy, the calculation gives -9.28 eV for the cell shown. As for the size of the total moment: 0.00 μB per formula unit.

---

Record 2
Here is Cs3AgH2I6 after structural relaxation from Alexandria via LeMat-Bulk. Energies are from PBE-GGA.

Cell lengths 8.076, 8.076, 9.797 Å; angles 90.00, 90.00, 120.00 degrees
Element x y z (fractional)
H1 0.333 0.667 0.300
I1 0.175 0.825 0.303
I2 0.651 0.825 0.303
Ag1 0.000 0.000 0.500
H2 0.667 0.333 0.700
I3 0.349 0.175 0.697
Cs1 0.000 0.000 0.000
I4 0.825 0.175 0.697
I5 0.175 0.349 0.303
Cs2 0.667 0.333 0.358
Cs3 0.333 0.667 0.642
I6 0.825 0.651 0.697

For the energy, the calculation gives -29.38 eV for the cell shown. As for the size of the total moment: 0.00 μB per formula unit.

---

Record 3
Here is Cs2InAgH6 after structural relaxation from Alexandria via LeMat-Bulk. Energies are from PBE-GGA.

Cell lengths 6.117, 6.117, 6.591 Å; angles 57.51, 57.51, 80.95 degrees
Element x y z (fractional)
H1 0.723 0.278 0.000
Cs1 0.250 0.750 0.500
Ag1 0.500 0.500 0.000
Cs2 0.750 0.250 0.500
H2 0.205 0.205 0.589
H3 0.795 0.795 0.411
H4 0.206 0.206 0.000
In1 0.000 0.000 0.000
H5 0.277 0.723 0.000
H6 0.794 0.794 0.000

For the energy, the calculation gives -27.54 eV for the cell shown. As for the size of the total moment: 0.00 μB per formula unit.